No. 1
This record from the Alexandria database describes CaTc2Ag at its PBEsol-relaxed geometry. The functional is meta-GGA SCAN.

Summary:
For the calculated formation energy, the calculation gives 1.7 eV per formula unit.

Cell lengths 4.4948, 4.4948, 5.9066 Å; angles 98.52, 98.52, 39.36 degrees
Last column: nearest neighbours and their distance in Å.
Positions (direct):
Ca 0.0000 0.0000 0.0000  3 Ag 2.79-2.96, 3 Tc 2.97-3.09, 2 Ca 3.03
Tc 0.2267 0.2267 0.6639  3 Tc 2.42-2.57
Tc 0.5067 0.5067 0.5457  3 Tc 2.42-2.57
Ag 0.7622 0.7622 0.2788  5 Tc 2.79-2.87, 3 Ca 2.79-2.96, 2 Ag 3.03


No. 2
This record from the Alexandria database describes CaAgTe at its PBEsol-relaxed geometry. The functional is meta-GGA SCAN.

Summary:
The total energy is -80.120 eV per cell.

Cell lengths 5.4547, 5.4547, 5.4547 Å; angles 136.60, 136.60, 63.06 degrees
Last column: nearest neighbours and their distance in Å.
Positions (direct):
Ca 0.0000 0.0000 0.0000  5 Ag 3.07-3.26, 5 Te 3.17-3.26
Ag 0.3298 0.3298 0.0000  5 Te 2.98-3.31, 5 Ca 3.07-3.26
Te 0.6499 0.6499 0.0000  5 Ag 2.98-3.31, 5 Ca 3.17-3.26


No. 3
This record from the Alexandria database describes CaTiAg2 at its PBEsol-relaxed geometry. The functional is meta-GGA SCAN.

Summary:
For the calculated formation energy, the calculation gives 0.3 eV per formula unit.

Cell lengths 4.8266, 4.8266, 4.8266 Å; angles 60.00, 60.00, 60.00 degrees
Last column: nearest neighbours and their distance in Å.
Positions (direct):
Ca 0.0000 0.0000 0.0000  8 Ag 2.96
Ti 0.5000 0.5000 0.5000  8 Ag 2.96
Ag 0.2500 0.2500 0.2500  4 Ca 2.96, 4 Ti 2.96
Ag 0.7500 0.7500 0.7500  4 Ca 2.96, 4 Ti 2.96


No. 4
This record from the Alexandria database describes CaTi3Ag at its PBEsol-relaxed geometry. The functional is meta-GGA SCAN.

Summary:
For the calculated formation energy, the calculation gives 4.2 eV per formula unit.

Cell lengths 4.9282, 4.9282, 4.9282 Å; angles 90.00, 90.00, 90.00 degrees
Last column: nearest neighbours and their distance in Å.
Positions (direct):
Ca 0.0000 0.0000 0.0000  12 Ti 3.48
Ti 0.0000 0.5000 0.5000  2 Ag 2.46
Ti 0.5000 0.0000 0.5000  2 Ag 2.46
Ti 0.5000 0.5000 0.0000  2 Ag 2.46
Ag 0.5000 0.5000 0.5000  6 Ti 2.46


No. 5
This record from the Alexandria database describes CaAg2W at its PBEsol-relaxed geometry. The functional is meta-GGA SCAN.

Summary:
For the calculated formation energy, the calculation gives 2.1 eV per formula unit.

Cell lengths 2.8561, 2.8561, 8.9194 Å; angles 90.00, 90.00, 90.00 degrees
Last column: nearest neighbours and their distance in Å.
Positions (direct):
Ca 0.0000 0.0000 0.0000  4 Ca 2.86, 4 W 3.14, 4 Ag 3.17
Ag 0.0000 0.0000 0.4980  8 Ag 2.86-2.87, 4 W 2.87
Ag 0.5000 0.5000 0.7263  8 Ag 2.86-2.87, 4 Ca 3.17
W 0.5000 0.5000 0.2698  4 W 2.86, 4 Ag 2.87, 4 Ca 3.14


No. 6
This record from the Alexandria database describes CaAg2W at its PBEsol-relaxed geometry. The functional is meta-GGA SCAN.

Summary:
For the calculated formation energy, the calculation gives 2.3 eV per formula unit.

Cell lengths 5.2084, 5.2084, 2.7745 Å; angles 90.00, 90.00, 106.41 degrees
Last column: nearest neighbours and their distance in Å.
Positions (direct):
Ca 0.0000 0.0000 0.0000  2 Ca 2.77, 8 Ag 2.95
Ag 0.0000 0.5000 0.5000  2 Ag 2.77, 4 W 2.95, 4 Ca 2.95
Ag 0.5000 0.0000 0.5000  2 Ag 2.77, 4 W 2.95, 4 Ca 2.95
W 0.5000 0.5000 0.0000  2 W 2.77, 8 Ag 2.95


No. 7
This record from the Alexandria database describes CaAgW3 at its PBEsol-relaxed geometry. The functional is meta-GGA SCAN.

Summary:
For the calculated formation energy, the calculation gives 17.4 eV per formula unit.

Cell lengths 4.5304, 4.5304, 4.5304 Å; angles 90.00, 90.00, 90.00 degrees
Last column: nearest neighbours and their distance in Å.
Positions (direct):
Ca 0.0000 0.0000 0.0000  6 W 2.27
Ag 0.5000 0.5000 0.5000  12 W 3.20
W 0.0000 0.0000 0.5000  2 Ca 2.27
W 0.0000 0.5000 0.0000  2 Ca 2.27
W 0.5000 0.0000 0.0000  2 Ca 2.27


No. 8
This record from the Alexandria database describes CaY2Ag2 at its PBEsol-relaxed geometry. The functional is meta-GGA SCAN.

Summary:
For the calculated formation energy, the calculation gives -1.5 eV per formula unit.

Cell lengths 8.3092, 8.3092, 3.7205 Å; angles 90.00, 90.00, 90.00 degrees
Last column: nearest neighbours and their distance in Å.
Positions (direct):
Ca 0.0000 0.0000 0.0000  4 Ag 3.26, 8 Y 3.64
Ca 0.5000 0.5000 0.0000  4 Ag 3.26, 8 Y 3.64
Y 0.1588 0.3412 0.5000  6 Ag 3.04-3.11
Y 0.3412 0.8412 0.5000  6 Ag 3.04-3.11
Y 0.6588 0.1588 0.5000  6 Ag 3.04-3.11
Y 0.8412 0.6588 0.5000  6 Ag 3.04-3.11
Ag 0.1294 0.6294 0.0000  1 Ag 3.04, 6 Y 3.04-3.11, 2 Ca 3.26
Ag 0.3706 0.1294 0.0000  1 Ag 3.04, 6 Y 3.04-3.11, 2 Ca 3.26
Ag 0.6294 0.8706 0.0000  1 Ag 3.04, 6 Y 3.04-3.11, 2 Ca 3.26
Ag 0.8706 0.3706 0.0000  1 Ag 3.04, 6 Y 3.04-3.11, 2 Ca 3.26


| no. | ρ (g/cm³) |
| --- | --- |
| 1 | 7.64 |
| 2 | 6.05 |
| 3 | 6.34 |
| 4 | 4.04 |
| 5 | 10.03 |
| 6 | 10.11 |
| 7 | 12.49 |
| 8 | 5.61 |